Record 1
Material: MnV4Cr5
Method: DFT, PBE-GGA
State: optimized geometry

abc: 2.919 7.173 7.327
angles: 118.13 101.49 90.00
Sites, in units of the cell vectors:
Cr 0.171 0.228 0.342
Cr 0.827 0.389 0.654
Cr 0.500 0.500 0.000
V 0.011 0.763 0.023
V 0.676 0.926 0.352
Mn 0.500 0.000 0.000
Cr 0.173 0.611 0.346
V 0.989 0.237 0.977
Cr 0.829 0.772 0.658
V 0.324 0.074 0.648

energy of formation = 0.356 eV per atom
E_tot = -90.20 eV for the cell shown


Record 2
Material: MnV5Cr4
Method: DFT, PBE-GGA
State: optimized geometry

abc: 2.903 2.903 14.559
angles: 90.00 90.00 90.00
Sites, in units of the cell vectors:
V 0.500 0.500 0.902
V 0.500 0.500 0.500
Cr 0.000 0.000 0.600
Cr 0.000 0.000 0.801
V 0.500 0.500 0.701
V 0.500 0.500 0.299
Mn 0.000 0.000 0.000
V 0.500 0.500 0.098
Cr 0.000 0.000 0.400
Cr 0.000 0.000 0.199

energy of formation = -0.131 eV per atom
E_tot = -94.57 eV for the cell shown